Record 1
## NiBiPdAu (PBE)

Data for a geometry-optimized NiBiPdAu structure.

Computed properties:
ΔH_f (0 K), eV/atom: -0.011
N(E_F), states/eV/cell: 2.5
Volume, A^3/atom: 17.67

Structure (POSCAR):
```
NiBiPdAu
1.0
0.0000 3.2818 3.2818
3.2818 0.0000 3.2818
3.2818 3.2818 0.0000
Ni Bi Pd Au
1 1 1 1
Direct
0.0000 0.0000 0.0000 Ni
0.7500 0.7500 0.7500 Bi
0.5000 0.5000 0.5000 Pd
0.2500 0.2500 0.2500 Au
```

=====

Record 2
## Ni2BiPdAu (PBE)

Data for a geometry-optimized Ni2BiPdAu structure.

Computed properties:
ΔH_f (0 K), eV/atom: 1.157
N(E_F), states/eV/cell: 6.9
Volume, A^3/atom: 23.76

Structure (POSCAR):
```
Ni2BiPdAu
1.0
4.7384 0.0000 0.0000
0.0000 4.7384 0.0000
0.0000 0.0000 5.2909
Ni Bi Pd Au
2 1 1 1
Direct
0.0000 0.5000 0.0000 Ni
0.5000 0.0000 0.0000 Ni
0.0000 0.0000 0.0000 Bi
0.5000 0.5000 0.5000 Pd
0.0000 0.0000 0.5000 Au
```